This record from Alexandria via LeMat-Bulk describes VPCO2 after structural relaxation. The functional is PBE+U.

```
data_VPCO2
_chemical_formula_sum 'V1 P1 C1 O2'
_cell_length_a 3.542
_cell_length_b 3.542
_cell_length_c 5.276
_cell_angle_alpha 90.00
_cell_angle_beta 90.00
_cell_angle_gamma 90.00
_space_group_name_H-M_alt 'P 1'
_space_group_IT_number 1
_space_group_name_Hall 'P 1'
loop_
_atom_site_label
_atom_site_fract_x
_atom_site_fract_y
_atom_site_fract_z
V1 0.000 0.000 0.000
C1 0.500 0.500 0.500
O1 0.000 0.500 0.000
O2 0.500 0.000 0.000
P1 0.000 0.000 0.500
```

Calculated values
For the offset from the most stable computed form, the calculation gives 0 meV per atom. As for the size of the total moment: 0.56 μB per formula unit.